VASP calculation (PBE) on an optimized crystal structure of Ce4Ge7.

The calculation puts the formation energy at -7.36 eV/f.u. As for the space group: C222_1. For the total energy, the calculation gives -63.418 eV per formula unit. The calculation puts the total magnetic moment at 4.8 μB per cell.

a = 7.662 Å, b = 7.662 Å, c = 11.862 Å
α = 90.00°, β = 90.00°, γ = 134.33°
Sites, in units of the cell vectors:
Ge  0.586  0.932  0.370
Ge  0.422  0.599  0.990
Ge  0.068  0.414  0.130
Ge  0.578  0.401  0.490
Ge  0.055  0.945  0.750
Ge  0.032  0.324  0.663
Ge  0.414  0.068  0.870
Ge  0.401  0.578  0.510
Ge  0.324  0.032  0.337
Ge  0.968  0.676  0.163
Ge  0.945  0.055  0.250
Ge  0.599  0.422  0.010
Ge  0.676  0.968  0.837
Ge  0.932  0.586  0.630
Ce  0.506  0.494  0.750
Ce  0.006  0.006  0.000
Ce  0.494  0.506  0.250
Ce  0.002  0.513  0.881
Ce  0.994  0.994  0.500
Ce  0.513  0.002  0.119
Ce  0.487  0.998  0.619
Ce  0.998  0.487  0.381

---

VASP calculation (PBE) on an optimized crystal structure of Re2TcTe.

The value obtained for the formation energy without anion corrections is 0.533 eV/atom. As for the space group: P4/mmm. For the total energy, the calculation gives -36.273 eV per formula unit. The calculation puts the total magnetic moment at 0.0 μB per cell.

a = 3.085 Å, b = 3.085 Å, c = 6.843 Å
α = 90.00°, β = 90.00°, γ = 90.00°
Sites, in units of the cell vectors:
Re  0.000  0.000  0.490
Re  0.000  0.000  0.010
Te  0.500  0.500  0.750
Tc  0.500  0.500  0.250

---

VASP calculation (PBE) on an optimized crystal structure of CsWBr4.

The value obtained for the formation energy without anion corrections is -0.795 eV/atom. As for the space group: C2/m. For the total energy, the calculation gives -25.266 eV per formula unit. The calculation puts the total magnetic moment at 0.0 μB per cell.

a = 5.459 Å, b = 7.401 Å, c = 12.059 Å
α = 107.87°, β = 101.62°, γ = 90.00°
Sites, in units of the cell vectors:
Cs  0.188  0.202  0.404
Cs  0.812  0.798  0.596
Br  0.775  0.300  0.600
Br  0.404  0.646  0.800
Br  0.596  0.354  0.200
Br  0.000  0.719  0.000
Br  0.404  0.153  0.800
Br  0.000  0.281  0.000
Br  0.225  0.700  0.400
Br  0.596  0.847  0.200
W  0.319  0.462  0.924
W  0.681  0.538  0.076

---

VASP calculation (PBE) on an optimized crystal structure of PrURh4.

The calculation puts the formation energy at -2.91 eV/f.u. As for the space group: F-43m. For the total energy, the calculation gives -48.382 eV per formula unit. The calculation puts the total magnetic moment at 2.1 μB per cell.

a = 5.367 Å, b = 5.367 Å, c = 5.367 Å
α = 60.00°, β = 60.00°, γ = 60.00°
Sites, in units of the cell vectors:
Rh  0.625  0.625  0.126
Rh  0.625  0.126  0.625
Rh  0.625  0.625  0.625
Rh  0.126  0.625  0.625
Pr  0.000  0.000  0.000
U  0.250  0.250  0.250

---

VASP calculation (PBE) on an optimized crystal structure of Pm3Pr3Y5.

The calculation puts the formation energy at 8.40 eV/f.u. As for the space group: P-62m. For the total energy, the calculation gives -52.515 eV per formula unit. The calculation puts the total magnetic moment at 0.0 μB per cell.

a = 5.540 Å, b = 9.720 Å, c = 9.720 Å
α = 120.00°, β = 90.00°, γ = 90.00°
Sites, in units of the cell vectors:
Y  0.500  0.736  0.000
Y  0.500  0.264  0.264
Y  0.500  0.667  0.333
Y  0.500  0.000  0.736
Y  0.500  0.333  0.667
Pr  0.500  0.631  0.631
Pr  0.500  0.369  0.000
Pr  0.500  0.000  0.369
Pm  0.000  0.526  0.000
Pm  0.000  0.000  0.526
Pm  0.000  0.474  0.474

---

VASP calculation (PBE) on an optimized crystal structure of Sm2YTm3Sb6.

The value obtained for the formation energy without anion corrections is -1.118 eV/atom. As for the space group: C2/m. For the total energy, the calculation gives -67.467 eV per formula unit. The calculation puts the total magnetic moment at 0.0 μB per cell.

a = 4.392 Å, b = 8.780 Å, c = 9.817 Å
α = 102.83°, β = 102.93°, γ = 90.00°
Sites, in units of the cell vectors:
Tm  0.833  0.166  0.665
Tm  0.167  0.834  0.335
Tm  0.500  0.500  0.000
Sb  0.335  0.412  0.671
Sb  0.333  0.923  0.666
Sb  0.998  0.251  0.995
Sb  0.667  0.077  0.334
Sb  0.002  0.749  0.005
Sb  0.665  0.588  0.329
Sm  0.166  0.333  0.332
Sm  0.834  0.667  0.668
Y  0.500  0.000  0.000